[1]
A relaxed structure of SrNd2HfO6, computed with PBE.

The structure in POSCAR format:
```
SrNd2HfO6
1.0
2.982 1.722 5.149
-2.982 1.722 5.149
0.000 -3.444 5.149
Sr Nd Hf O
1 2 1 6
direct
0.000 0.000 0.000 Sr
0.272 0.272 0.272 Nd
0.776 0.776 0.776 Nd
0.486 0.486 0.486 Hf
0.120 0.655 0.403 O
0.221 0.585 0.840 O
0.403 0.120 0.655 O
0.585 0.840 0.221 O
0.655 0.403 0.120 O
0.840 0.221 0.585 O
```

---

[2]
A relaxed structure of SrNdHf2O6, computed with PBE.

The structure in POSCAR format:
```
SrNdHf2O6
1.0
3.994 -4.072 0.000
3.994 4.072 0.000
0.000 0.000 4.211
Sr Nd Hf O
1 1 2 6
direct
0.000 0.000 0.000 Sr
0.500 0.500 0.000 Nd
0.000 0.500 0.500 Hf
0.500 0.000 0.500 Hf
0.000 0.500 0.000 O
0.184 0.816 0.500 O
0.320 0.320 0.500 O
0.500 0.000 0.000 O
0.680 0.680 0.500 O
0.816 0.184 0.500 O
```

---

[3]
A relaxed structure of SrNdHfTiO6, computed with PBE.

The structure in POSCAR format:
```
SrNdHfTiO6
1.0
0.000 4.036 4.036
4.036 0.000 4.036
4.036 4.036 0.000
Sr Nd Hf Ti O
1 1 1 1 6
direct
0.000 0.000 0.000 Sr
0.500 0.500 0.500 Nd
0.250 0.250 0.250 Hf
0.750 0.750 0.750 Ti
0.504 0.504 0.996 O
0.504 0.996 0.504 O
0.504 0.996 0.996 O
0.996 0.504 0.504 O
0.996 0.504 0.996 O
0.996 0.996 0.504 O
```

---

| no. | total magnetic moment (μB/cell) | raw formation energy (meV per atom) |
| --- | --- | --- |
| 1 | 0.00 | -3299 |
| 2 | 0.00 | -3243 |
| 3 | 0.00 | -3148 |